Entry from Alexandria: crystalline Li2MoPPb at its relaxed geometry (PBE-GGA).

The structure in extended XYZ format:
```
5
Lattice="-0.990 0.417 -4.673 -4.570 -2.564 0.740 -2.206 4.174 0.840" Properties=species:S:1:pos:R:3 pbc="T T T"
Li -1.103 2.087 0.420
Li -0.495 0.208 -2.337
P -3.883 1.014 -1.547
Mo -2.285 -1.282 0.370
Pb 0.000 0.000 0.000
```

Results
Energy of formation (eV per atom): 1.087
V (Å³/f.u.): 122
E_tot (eV/atom): -3.668